Record 1
Density functional theory data (GGA-PBE) for MgGe2Br6 after structural relaxation.

Calculated values
Volume = 32.67 Å³/atom
Crystal system = monoclinic
Space group = No. 12
Relative energy among the computed polymorphs = 0.00 eV/f.u.
Raw formation energy = -864.1 meV/atom
Size of the total moment = 0.0 μB/f.u.

Lattice parameters (Å, degrees): 3.9967 8.4608 9.3033 106.46 102.40 90.00
Positions (direct):
1 Br 0.6537 0.0850 0.3074
2 Br 0.9954 0.7762 0.9908
3 Br 0.0046 0.2238 0.0092
4 Br 0.3463 0.9150 0.6926
5 Br 0.3328 0.4323 0.6656
6 Br 0.6672 0.5677 0.3344
7 Mg 0.5000 0.0000 0.0000
8 Ge 0.1646 0.3319 0.3291
9 Ge 0.8354 0.6681 0.6709

***

Record 2
Density functional theory data (GGA-PBE) for Pr8Dy2Th3 after structural relaxation.

Calculated values
Volume = 35.22 Å³/atom
Crystal system = monoclinic
Space group = No. 12
DFT formation energy = 3.01 eV per formula unit
Size of the total moment = 0.0 μB/f.u.

Lattice parameters (Å, degrees): 10.5204 11.1602 10.0348 123.78 137.28 90.00
Positions (direct):
1 Pr 0.9875 0.3860 0.7719
2 Pr 0.6408 0.2358 0.9584
3 Pr 0.1652 0.2537 0.5075
4 Pr 0.3592 0.7642 0.0416
5 Pr 0.6408 0.7226 0.9584
6 Pr 0.3592 0.2774 0.0416
7 Pr 0.0125 0.6140 0.2281
8 Pr 0.8348 0.7463 0.4925
9 Th 0.0000 0.2364 0.0000
10 Th 0.5000 0.0000 0.0000
11 Th 0.0000 0.7636 0.0000
12 Dy 0.5774 0.8109 0.6217
13 Dy 0.4226 0.1891 0.3783

***

Record 3
Density functional theory data (GGA-PBE) for HgTePtO2 after structural relaxation.

Calculated values
Volume = 18.31 Å³/atom
Crystal system = tetragonal
Space group = No. 123
Raw formation energy = 559.5 meV/atom
Size of the total moment = 0.0 μB/f.u.

Lattice parameters (Å, degrees): 4.0783 5.5038 4.0783 90.00 90.00 90.00
Positions (direct):
1 O 0.5000 0.0000 0.0000
2 O 0.0000 0.0000 0.5000
3 Te 0.5000 0.5000 0.5000
4 Hg 0.0000 0.0000 0.0000
5 Pt 0.0000 0.5000 0.0000

***

Record 4
Density functional theory data (GGA-PBE) for RhCN3 after structural relaxation.

Calculated values
Volume = 11.49 Å³/atom
Crystal system = cubic
Space group = No. 221
Raw formation energy = 2982.4 meV/atom
Size of the total moment = 2.0 μB/f.u.

Lattice parameters (Å, degrees): 3.8590 3.8590 3.8590 90.00 90.00 90.00
Positions (direct):
1 N 0.0000 0.5000 0.0000
2 N 0.0000 0.0000 0.5000
3 N 0.5000 0.0000 0.0000
4 C 0.5000 0.5000 0.5000
5 Rh 0.0000 0.0000 0.0000

***

Record 5
Density functional theory data (GGA-PBE) for Ce2HfAl after structural relaxation.

Calculated values
Volume = 23.82 Å³/atom
Crystal system = tetragonal
Space group = No. 123
DFT formation energy = -0.24 eV per formula unit
Relative energy among the computed polymorphs = 0.28 eV/f.u.
Size of the total moment = 0.0 μB/f.u.

Lattice parameters (Å, degrees): 3.1264 3.1264 9.7485 90.00 90.00 90.00
Positions (direct):
1 Ce 0.0000 0.0000 0.2381
2 Ce 0.0000 0.0000 0.7619
3 Al 0.5000 0.5000 0.0000
4 Hf 0.5000 0.5000 0.5000

***

Record 6
Density functional theory data (GGA-PBE) for Ge2SbRh8 after structural relaxation.

Calculated values
Volume = 15.12 Å³/atom
Crystal system = orthorhombic
Space group = No. 71
Raw formation energy = -258.8 meV/atom
Size of the total moment = 0.0 μB/f.u.

Lattice parameters (Å, degrees): 4.0556 6.7616 7.2347 117.86 106.28 90.00
Positions (direct):
1 Rh 0.0000 0.6968 0.0000
2 Rh 0.0000 0.3032 0.0000
3 Rh 0.6656 0.8866 0.3313
4 Rh 0.8529 0.8529 0.7059
5 Rh 0.3344 0.5554 0.6687
6 Rh 0.6656 0.4446 0.3313
7 Rh 0.1471 0.1471 0.2941
8 Rh 0.3344 0.1134 0.6687
9 Sb 0.5000 0.0000 0.0000
10 Ge 0.8144 0.3144 0.6288
11 Ge 0.1856 0.6856 0.3712

***

Record 7
Density functional theory data (GGA-PBE) for Cr2IrPt2 after structural relaxation.

Calculated values
Volume = 15.03 Å³/atom
Crystal system = tetragonal
Space group = No. 139
DFT formation energy = 1.28 eV per formula unit
Relative energy among the computed polymorphs = 0.74 eV/f.u.
Size of the total moment = 0.0 μB/f.u.

Lattice parameters (Å, degrees): 3.7259 3.7259 6.0220 71.98 71.98 90.00
Positions (direct):
1 Pt 0.7500 0.2500 0.5000
2 Pt 0.2500 0.7500 0.5000
3 Cr 0.5884 0.5884 0.8232
4 Cr 0.4116 0.4116 0.1768
5 Ir 0.0000 0.0000 0.0000

***

Record 8
Density functional theory data (GGA-PBE) for LiTcNi after structural relaxation.

Calculated values
Volume = 12.39 Å³/atom
Crystal system = orthorhombic
Space group = No. 44
DFT formation energy = 0.69 eV per formula unit
Relative energy among the computed polymorphs = 0.50 eV/f.u.
Size of the total moment = 0.3 μB/f.u.

Lattice parameters (Å, degrees): 4.4972 4.4972 4.4972 147.52 129.82 61.05
Positions (direct):
1 Li 0.9953 0.9953 0.0000
2 Ni 0.3315 0.3315 0.0000
3 Tc 0.6732 0.6732 0.0000

***

Record 9
Density functional theory data (GGA-PBE) for Ti3PtO after structural relaxation.

Calculated values
Volume = 18.26 Å³/atom
Crystal system = trigonal
Space group = No. 167
Raw formation energy = -911.5 meV/atom
Size of the total moment = 0.0 μB/f.u.

Lattice parameters (Å, degrees): 6.7840 6.7840 6.7840 52.64 52.64 52.64
Positions (direct):
1 Ti 0.7500 0.0637 0.4363
2 Ti 0.4363 0.7500 0.0637
3 Ti 0.9363 0.5637 0.2500
4 Ti 0.0637 0.4363 0.7500
5 Ti 0.2500 0.9363 0.5637
6 Ti 0.5637 0.2500 0.9363
7 Pt 0.5000 0.5000 0.5000
8 Pt 0.0000 0.0000 0.0000
9 O 0.7500 0.7500 0.7500
10 O 0.2500 0.2500 0.2500

***

Record 10
Density functional theory data (GGA-PBE) for Hf6NbPd after structural relaxation.

Calculated values
Volume = 20.62 Å³/atom
Crystal system = tetragonal
Space group = No. 139
DFT formation energy = -0.81 eV per formula unit
Size of the total moment = 0.0 μB/f.u.

Lattice parameters (Å, degrees): 4.7486 4.7486 8.0499 72.84 72.81 90.00
Positions (direct):
1 Hf 0.6124 0.1126 0.7747
2 Hf 0.3876 0.8874 0.2253
3 Hf 0.2564 0.2566 0.4868
4 Hf 0.7436 0.7434 0.5132
5 Hf 0.8874 0.3874 0.2253
6 Hf 0.1126 0.6126 0.7747
7 Nb 0.5000 0.5000 0.0000
8 Pd 0.0000 0.0000 0.0000

***

Record 11
Density functional theory data (GGA-PBE) for Ac3Nd2Dy after structural relaxation.

Calculated values
Volume = 39.49 Å³/atom
Crystal system = monoclinic
Space group = No. 15
DFT formation energy = 0.69 eV per formula unit
Size of the total moment = 0.0 μB/f.u.

Lattice parameters (Å, degrees): 7.1760 9.4433 7.1760 82.43 83.73 97.57
Positions (direct):
1 Nd 0.6162 0.8817 0.8845
2 Nd 0.3838 0.1183 0.1155
3 Nd 0.8845 0.6183 0.6162
4 Nd 0.1155 0.3817 0.3838
5 Ac 0.1319 0.9780 0.7047
6 Ac 0.4446 0.7500 0.4446
7 Ac 0.2953 0.4780 0.8681
8 Ac 0.7047 0.5220 0.1319
9 Ac 0.5554 0.2500 0.5554
10 Ac 0.8681 0.0220 0.2953
11 Dy 0.8787 0.2500 0.8787
12 Dy 0.1213 0.7500 0.1213

***

Record 12
Density functional theory data (GGA-PBE) for SrAcHg4 after structural relaxation.

Calculated values
Volume = 28.78 Å³/atom
Crystal system = cubic
Space group = No. 216
DFT formation energy = -1.95 eV per formula unit
Relative energy among the computed polymorphs = 0.94 eV/f.u.
Size of the total moment = 0.0 μB/f.u.

Lattice parameters (Å, degrees): 6.2507 6.2507 6.2507 60.00 60.00 60.00
Positions (direct):
1 Sr 0.0000 0.0000 0.0000
2 Hg 0.6250 0.6250 0.6250
3 Hg 0.6250 0.1249 0.6250
4 Hg 0.6250 0.6250 0.1249
5 Hg 0.1249 0.6250 0.6250
6 Ac 0.2500 0.2500 0.2500